(1)
{
  "formula": "CsSnBiPb2",
  "functional": "PBE-GGA",
  "state": "optimized geometry",
  "lattice": [[5.395, 0.000, 0.000], [0.000, 5.395, 0.000], [-2.697, -2.697, 6.869]],
  "species": ["Pb", "Cs", "Pb", "Sn", "Bi"],
  "frac_coords": [[0.625, 0.625, 0.250], [0.000, 0.000, 0.000], [0.375, 0.375, 0.750], [0.250, 0.750, 0.500], [0.750, 0.250, 0.500]],
  "space_group": "I-4m2",
  "m_tot_mub_per_cell": 0.00,
  "delta_e_f_kcal_per_mol_atoms": -3.05
}

=====

(2)
{
  "formula": "Cs2Sn3BiPb4",
  "functional": "PBE-GGA",
  "state": "optimized geometry",
  "lattice": [[-2.820, 3.696, -2.702], [2.532, -1.384, -4.536], [-9.510, -9.105, -2.530]],
  "species": ["Sn", "Sn", "Sn", "Bi", "Pb", "Pb", "Cs", "Pb", "Pb", "Cs"],
  "frac_coords": [[0.000, 0.000, 0.500], [0.000, 0.500, 0.126], [0.500, 0.000, 0.874], [0.500, 0.500, 0.500], [0.000, 0.000, 0.000], [0.500, 0.500, 0.000], [0.000, 0.500, 0.750], [0.000, 0.500, 0.369], [0.500, 0.000, 0.631], [0.500, 0.000, 0.250]],
  "space_group": "P-4m2",
  "m_tot_mub_per_cell": 0.00,
  "delta_e_f_kcal_per_mol_atoms": -3.20
}

=====

(3)
{
  "formula": "Cs2SnBi3Pb4",
  "functional": "PBE-GGA",
  "state": "optimized geometry",
  "lattice": [[-4.981, 0.747, -2.060], [-2.180, -1.178, 4.845], [0.554, 13.320, 3.488]],
  "species": ["Pb", "Bi", "Bi", "Sn", "Cs", "Pb", "Pb", "Bi", "Cs", "Pb"],
  "frac_coords": [[0.500, 0.500, 0.000], [0.000, 0.000, 0.500], [0.500, 0.000, 0.865], [0.500, 0.500, 0.500], [0.000, 0.500, 0.740], [0.000, 0.500, 0.377], [0.000, 0.000, 0.000], [0.000, 0.500, 0.135], [0.500, 0.000, 0.260], [0.500, 0.000, 0.623]],
  "space_group": "P-4m2",
  "m_tot_mub_per_cell": 0.00,
  "delta_e_f_kcal_per_mol_atoms": -3.91
}

=====

(4)
{
  "formula": "Cs2SnBi2Pb",
  "functional": "PBE-GGA",
  "state": "optimized geometry",
  "lattice": [[-4.975, -5.739, 2.502], [4.607, -1.137, 6.552], [-4.423, 9.287, -0.273]],
  "species": ["Bi", "Cs", "Sn", "Cs", "Bi", "Cs", "Sn", "Pb", "Bi", "Pb", "Bi", "Cs"],
  "frac_coords": [[0.091, 0.829, 0.182], [0.666, 0.913, 0.333], [0.250, 0.500, 0.000], [0.334, 0.087, 0.667], [0.909, 0.171, 0.818], [0.166, 0.419, 0.333], [0.750, 0.500, 0.000], [0.750, 0.000, 0.000], [0.409, 0.647, 0.818], [0.250, 0.000, 0.000], [0.591, 0.353, 0.182], [0.834, 0.581, 0.667]],
  "space_group": "Ibam",
  "m_tot_mub_per_cell": 0.00,
  "delta_e_f_kcal_per_mol_atoms": -6.11
}

=====

(5)
{
  "formula": "CsTiBi2Pb",
  "functional": "PBE-GGA",
  "state": "optimized geometry",
  "lattice": [[-3.711, 4.133, 0.518], [-0.556, 0.196, -5.547], [-4.159, -3.770, 0.284]],
  "species": ["Cs", "Bi", "Bi", "Pb", "Ti"],
  "frac_coords": [[0.500, 0.500, 0.500], [0.000, 0.500, 0.000], [0.500, 0.000, 0.000], [0.000, 0.000, 0.500], [0.000, 0.000, 0.000]],
  "space_group": "P4/mmm",
  "m_tot_mub_per_cell": 0.00,
  "delta_e_f_kcal_per_mol_atoms": -1.95
}

=====

(6)
{
  "formula": "Cs2Tl6BiPb",
  "functional": "PBE-GGA",
  "state": "optimized geometry",
  "lattice": [[-2.694, -6.476, 4.255], [4.742, -6.647, 0.795], [6.553, 1.288, 14.020]],
  "species": ["Tl", "Tl", "Tl", "Cs", "Tl", "Bi", "Cs", "Cs", "Cs", "Tl", "Tl", "Pb", "Tl", "Tl", "Tl", "Tl", "Tl", "Tl", "Pb", "Bi"],
  "frac_coords": [[0.229, 0.620, 0.922], [0.337, 0.337, 0.402], [0.620, 0.229, 0.922], [0.102, 0.102, 0.694], [0.771, 0.380, 0.078], [0.575, 0.575, 0.274], [0.722, 0.722, 0.835], [0.898, 0.898, 0.306], [0.278, 0.278, 0.165], [0.337, 0.923, 0.402], [0.663, 0.077, 0.598], [0.000, 0.000, 0.000], [0.077, 0.663, 0.598], [0.771, 0.771, 0.078], [0.923, 0.337, 0.402], [0.663, 0.663, 0.598], [0.229, 0.229, 0.922], [0.380, 0.771, 0.078], [0.500, 0.500, 0.500], [0.425, 0.425, 0.726]],
  "space_group": "R-3m",
  "m_tot_mub_per_cell": 0.00,
  "delta_e_f_kcal_per_mol_atoms": -0.41
}

=====

(7)
{
  "formula": "Cs3Tl4Bi2Pb2",
  "functional": "PBE-GGA",
  "state": "optimized geometry",
  "lattice": [[-1.035, -4.174, -3.101], [-1.196, -0.171, 5.163], [-19.415, 7.961, -4.235]],
  "species": ["Cs", "Cs", "Pb", "Tl", "Tl", "Cs", "Bi", "Tl", "Bi", "Pb", "Tl"],
  "frac_coords": [[0.000, 0.000, 0.000], [0.000, 0.000, 0.727], [0.333, 0.667, 0.540], [0.333, 0.667, 0.391], [0.667, 0.333, 0.131], [0.000, 0.000, 0.273], [0.333, 0.667, 0.139], [0.333, 0.667, 0.869], [0.667, 0.333, 0.861], [0.667, 0.333, 0.460], [0.667, 0.333, 0.609]],
  "space_group": "P-3m1",
  "m_tot_mub_per_cell": 0.00,
  "delta_e_f_kcal_per_mol_atoms": -2.13
}

=====

(8)
{
  "formula": "CsTlBiPb2",
  "functional": "PBE-GGA",
  "state": "optimized geometry",
  "lattice": [[6.033, 0.000, 0.000], [0.000, 6.119, 0.000], [0.000, 0.000, 6.033]],
  "species": ["Bi", "Tl", "Cs", "Pb", "Pb"],
  "frac_coords": [[0.000, 0.500, 0.000], [0.000, 0.000, 0.000], [0.500, 0.500, 0.500], [0.500, 0.000, 0.000], [0.000, 0.000, 0.500]],
  "space_group": "P4/mmm",
  "m_tot_mub_per_cell": 0.00,
  "e_above_lowest_polymorph_mev_per_atom": 374,
  "delta_e_f_kcal_per_mol_atoms": 5.49
}

=====

(9)
{
  "formula": "CsTlBi2Pb",
  "functional": "PBE-GGA",
  "state": "optimized geometry",
  "lattice": [[5.497, 0.000, 0.000], [0.000, 5.497, 0.000], [-2.749, -2.749, 6.784]],
  "species": ["Cs", "Tl", "Bi", "Bi", "Pb"],
  "frac_coords": [[0.000, 0.000, 0.000], [0.250, 0.750, 0.500], [0.616, 0.616, 0.233], [0.384, 0.384, 0.767], [0.750, 0.250, 0.500]],
  "space_group": "I-4m2",
  "m_tot_mub_per_cell": 0.00,
  "delta_e_f_kcal_per_mol_atoms": -5.00
}

=====

(10)
{
  "formula": "CsTlBiPb2",
  "functional": "PBE-GGA",
  "state": "optimized geometry",
  "lattice": [[-2.641, -4.251, 1.595], [3.789, -3.103, -1.997], [2.904, 3.876, 6.489]],
  "species": ["Bi", "Cs", "Tl", "Pb", "Pb"],
  "frac_coords": [[0.190, 0.690, 0.380], [0.443, 0.443, 0.885], [0.827, 0.827, 0.654], [0.061, 0.061, 0.122], [0.692, 0.192, 0.383]],
  "space_group": "Imm2",
  "m_tot_mub_per_cell": 0.00,
  "e_above_lowest_polymorph_mev_per_atom": 0,
  "delta_e_f_kcal_per_mol_atoms": -3.14
}

=====

(11)
{
  "formula": "Cs2Tl3Bi4Pb",
  "functional": "PBE-GGA",
  "state": "optimized geometry",
  "lattice": [[-1.333, -1.209, -5.028], [2.970, -4.430, 0.278], [-11.168, -7.192, 4.690]],
  "species": ["Cs", "Bi", "Bi", "Bi", "Cs", "Tl", "Pb", "Tl", "Bi", "Tl"],
  "frac_coords": [[0.500, 0.000, 0.243], [0.000, 0.000, 0.000], [0.500, 0.500, 0.000], [0.500, 0.000, 0.633], [0.000, 0.500, 0.757], [0.000, 0.000, 0.500], [0.500, 0.500, 0.500], [0.500, 0.000, 0.864], [0.000, 0.500, 0.367], [0.000, 0.500, 0.136]],
  "space_group": "P-4m2",
  "m_tot_mub_per_cell": 0.00,
  "delta_e_f_kcal_per_mol_atoms": -4.13
}

=====

(12)
{
  "formula": "Cs3Zn2Bi4Pb2",
  "functional": "PBE-GGA",
  "state": "optimized geometry",
  "lattice": [[4.904, 0.000, 0.000], [-2.452, 4.247, 0.000], [0.000, 0.000, 22.609]],
  "species": ["Cs", "Bi", "Bi", "Bi", "Pb", "Bi", "Pb", "Zn", "Cs", "Zn", "Cs"],
  "frac_coords": [[0.000, 0.000, 0.734], [0.333, 0.667, 0.390], [0.667, 0.333, 0.610], [0.333, 0.667, 0.866], [0.667, 0.333, 0.450], [0.667, 0.333, 0.134], [0.333, 0.667, 0.550], [0.667, 0.333, 0.866], [0.000, 0.000, 0.266], [0.333, 0.667, 0.134], [0.000, 0.000, 0.000]],
  "space_group": "P-3m1",
  "m_tot_mub_per_cell": 0.00,
  "delta_e_f_kcal_per_mol_atoms": -4.46
}